K2Hf2MgSe6 | PBE-GGA | relaxed

Cell: 6.777 6.777 8.174 Å, 97.73 97.73 120.22°
Fractional coordinates of all 11 atoms:
K 0.836 0.164 0.000
K 0.164 0.836 0.000
Hf 0.333 0.667 0.500
Hf 0.667 0.333 0.500
Mg 0.000 0.000 0.500
Se 0.719 0.719 0.693
Se 0.064 0.405 0.693
Se 0.281 0.281 0.307
Se 0.405 0.064 0.693
Se 0.936 0.595 0.307
Se 0.595 0.936 0.307

Results
ΔE_f (raw)	-1.364	eV/atom
symmetry	No. 12
VASP energy	-5.42	eV/atom